NaCdNi2F8: optimized geometry, PBE+U.

```
NaCdNi2F8
1.0
4.967 0.000 0.000
0.131 5.010 0.000
0.018 0.017 6.357
Na Cd Ni F
1 1 2 8
Direct
0.000 0.000 0.000 Na
0.000 0.000 0.500 Cd
0.500 0.500 0.245 Ni
0.500 0.500 0.755 Ni
0.230 0.780 0.251 F
0.230 0.780 0.749 F
0.318 0.328 0.501 F
0.319 0.329 0.001 F
0.681 0.671 0.999 F
0.682 0.672 0.499 F
0.770 0.220 0.251 F
0.770 0.220 0.749 F
```

Calculated values
The calculation puts the total energy at -3.948 eV/atom.